Entry 1:
AgMoHSe2 | the Alexandria database | GGA-PBE | optimized geometry; DFT total energy = -4.392 eV/atom; space group = No. 123; total moment = 2.02 μB/f.u.
1.0
-1.655 0.520 -4.435
-3.258 0.162 1.235
0.390 4.728 0.409
Se H Ag Mo
2 1 1 1
Direct
0.000 0.000 0.500
0.500 0.000 0.000
0.000 0.000 0.000
0.500 0.500 0.500
0.000 0.500 0.000



Entry 2:
SrAg2MoH | the Alexandria database | GGA-PBE | optimized geometry; DFT total energy = -3.111 eV/atom; space group = No. 123; total moment = 4.27 μB/f.u.
1.0
-2.794 2.699 -4.123
-3.357 -0.274 2.095
1.141 4.965 2.477
Ag Mo Sr H
2 1 1 1
Direct
0.000 0.000 0.500
0.500 0.000 0.000
0.500 0.500 0.500
0.000 0.000 0.000
0.000 0.500 0.000